Arrangement one

First-principles (GGA-PBE) data for a relaxed structure of MgW4, as listed in the Alexandria database.

Space group   No. 87
DOS at the Fermi energy   3.189 states/eV/cell

Lattice parameters (Å, degrees): 4.8531 4.8531 4.8531 102.44 102.44 124.69
Element x y z (fractional)
Mg  0.0000  0.0000  0.0000
W  0.2033  0.4134  0.6166
W  0.4134  0.7967  0.2101
W  0.5866  0.2033  0.7899
W  0.7967  0.5866  0.3834

***

Arrangement two

First-principles (GGA-PBE) data for a relaxed structure of MgW4, as listed in the Alexandria database.

Space group   No. 229
DOS at the Fermi energy   7.899 states/eV/cell

Lattice parameters (Å, degrees): 4.9711 4.9711 4.9711 109.47 109.47 109.47
Element x y z (fractional)
Mg  0.0000  0.0000  0.0000
W  0.0000  0.0000  0.5000
W  0.0000  0.5000  0.0000
W  0.5000  0.0000  0.0000
W  0.5000  0.5000  0.5000

***

Arrangement three

First-principles (GGA-PBE) data for a relaxed structure of MgW4, as listed in the Alexandria database.

Space group   No. 139
DOS at the Fermi energy   4.248 states/eV/cell

Lattice parameters (Å, degrees): 6.3247 6.3247 6.3247 140.78 140.78 56.68
Element x y z (fractional)
Mg  0.0000  0.0000  0.0000
W  0.2500  0.7500  0.5000
W  0.3817  0.3817  0.0000
W  0.6183  0.6183  0.0000
W  0.7500  0.2500  0.5000

***

Arrangement four

First-principles (GGA-PBE) data for a relaxed structure of MgW4, as listed in the Alexandria database.

Space group   No. 221
DOS at the Fermi energy   4.887 states/eV/cell

Lattice parameters (Å, degrees): 4.4911 4.4911 4.4911 90.00 90.00 90.00
Element x y z (fractional)
Mg  0.0000  0.0000  0.0000
W  0.0000  0.0000  0.5000
W  0.0000  0.5000  0.0000
W  0.5000  0.0000  0.0000
W  0.5000  0.5000  0.5000

***

Most stable pick: arrangement one. Distance to second place: 38.0 kJ/mol of atoms.

***

Arrangement one

First-principles (GGA-PBE) data for a relaxed structure of Mg7W, as listed in the Alexandria database.

Space group   No. 187
DOS at the Fermi energy   5.479 states/eV/cell

Lattice parameters (Å, degrees): 6.1943 6.1943 4.9307 90.00 90.00 120.00
Element x y z (fractional)
Mg  0.0000  0.0000  0.0000
Mg  0.0203  0.5101  0.0000
Mg  0.3358  0.1679  0.5000
Mg  0.4899  0.5101  0.0000
Mg  0.4899  0.9797  0.0000
Mg  0.8321  0.1679  0.5000
Mg  0.8321  0.6642  0.5000
W  0.3333  0.6667  0.5000

***

Arrangement two

First-principles (GGA-PBE) data for a relaxed structure of Mg7W, as listed in the Alexandria database.

Space group   No. 225
DOS at the Fermi energy   1.694 states/eV/cell

Lattice parameters (Å, degrees): 6.1138 6.1138 6.1138 60.00 60.00 60.00
Element x y z (fractional)
Mg  0.0000  0.0000  0.0000
Mg  0.0000  0.0000  0.5000
Mg  0.0000  0.5000  0.0000
Mg  0.0000  0.5000  0.5000
Mg  0.5000  0.0000  0.0000
Mg  0.5000  0.0000  0.5000
Mg  0.5000  0.5000  0.0000
W  0.5000  0.5000  0.5000

***

Most stable pick: arrangement two. Distance to second place: 4.3 kJ/mol of atoms.